# 1
A geometry-optimized KLa2Zn structure, computed with PBE.

Summary:
DFT total energy   -2.6171 eV per atom
Crystal system   cubic
M_tot   0.2836 μB/atom
Formation energy from the elements   0.4395 eV per atom
Polymorph energy (0 for the lowest one)   0.424 eV per atom

Cell lengths 8.0763, 8.0763, 8.0763 Å; angles 90.00, 90.00, 90.00 degrees
Last column: nearest neighbours and their distance in Å.
Space group F-43m (No. 216)
One atom of each set of equivalent atoms:
K: 0.0000 0.0000 0.0000  4 La 3.50, 4 Zn 3.50
La: 0.0000 0.0000 0.5000  4 La 3.50, 4 Zn 3.50
La: 0.2500 0.2500 0.2500  4 La 3.50, 4 K 3.50
Zn: 0.2500 0.2500 0.7500  4 La 3.50, 4 K 3.50

***

# 2
A geometry-optimized Li2Mg2Ta structure, computed with PBE.

Summary:
DFT total energy   -3.1667 eV per atom
Crystal system   tetragonal
M_tot   0.0000 μB/atom
Formation energy from the elements   0.6072 eV per atom
Polymorph energy (0 for the lowest one)   0.294 eV per atom

Cell lengths 4.7797, 4.7797, 7.9014 Å; angles 90.00, 90.00, 90.00 degrees
Last column: nearest neighbours and their distance in Å.
Space group I4/mmm (No. 139)
One atom of each set of equivalent atoms:
Li: 0.0000 0.0000 0.1310  1 Li 2.07
Mg: 0.0000 0.5000 0.2500  4 Li 2.57
Ta: 0.0000 0.0000 0.5000  2 Li 2.92, 8 Mg 3.10

***

# 3
A geometry-optimized TiV6Si8 structure, computed with PBE.

Summary:
DFT total energy   -7.4745 eV per atom
Crystal system   trigonal
M_tot   0.0000 μB/atom

Cell lengths 7.0190, 7.0190, 14.7558 Å; angles 90.00, 90.00, 120.00 degrees
Last column: nearest neighbours and their distance in Å.
Space group R-3 (No. 148, hexagonal axes)
One atom of each set of equivalent atoms:
Ti: 0.0000 0.0000 0.0000  6 Si 2.56
V: 0.0036 0.2572 0.4050  7 Si 2.42-2.68
Si: 0.0000 0.0000 0.2877  3 Si 2.44, 6 V 2.49-2.67
Si: 0.0207 0.4038 0.5618  2 Si 2.37-2.44, 4 V 2.42-2.54, 1 Ti 2.56

***

# 4
A geometry-optimized Tb3Pr8Nd4 structure, computed with PBE.

Summary:
DFT total energy   -4.6260 eV per atom
Crystal system   trigonal
M_tot   0.0000 μB/atom
Formation energy from the elements   0.1205 eV per atom
Polymorph energy (0 for the lowest one)   0.000 eV per atom

Cell lengths 7.1344, 7.1344, 36.4853 Å; angles 90.00, 90.00, 120.00 degrees
Last column: nearest neighbours and their distance in Å.
Space group R-3m (No. 166, hexagonal axes)
One atom of each set of equivalent atoms:
Tb: 0.0000 0.5000 0.0000  6 Pr 3.55-3.63, 4 Tb 3.57, 2 Nd 3.57
Pr: 0.0000 0.0000 0.2541  1 Nd 3.29, 3 Tb 3.55, 6 Pr 3.57
Pr: 0.0019 0.5009 0.2511  6 Pr 3.55-3.59, 3 Nd 3.63-3.70, 2 Tb 3.63
Nd: 0.0000 0.0000 0.0000  6 Tb 3.57, 6 Pr 3.64
Nd: 0.0000 0.0000 0.1639  4 Pr 3.29-3.63
Nd: 0.0000 0.0000 0.5000  6 Pr 3.70, 6 Nd 4.12

***

# 5
A geometry-optimized LaSm3Sb4 structure, computed with PBE.

Summary:
DFT total energy   -5.6442 eV per atom
Crystal system   cubic
M_tot   0.0000 μB/atom

Cell lengths 6.3779, 6.3779, 6.3779 Å; angles 90.00, 90.00, 90.00 degrees
Last column: nearest neighbours and their distance in Å.
Space group Pm-3m (No. 221)
One atom of each set of equivalent atoms:
La: 0.0000 0.0000 0.0000  6 Sb 3.19
Sm: 0.0000 0.5000 0.5000  6 Sb 3.19
Sb: 0.0000 0.0000 0.5000  2 La 3.19, 4 Sm 3.19
Sb: 0.5000 0.5000 0.5000  6 Sm 3.19

***

# 6
A geometry-optimized YMn2Os2 structure, computed with PBE.

Summary:
DFT total energy   -9.4738 eV per atom
Crystal system   tetragonal
M_tot   0.0000 μB/atom
Formation energy from the elements   -0.0212 eV per atom
Polymorph energy (0 for the lowest one)   0.000 eV per atom

Cell lengths 4.0786, 4.0786, 9.7257 Å; angles 90.00, 90.00, 90.00 degrees
Last column: nearest neighbours and their distance in Å.
Space group I4/mmm (No. 139)
One atom of each set of equivalent atoms:
Y: 0.0000 0.0000 0.0000  8 Mn 3.08, 8 Os 3.17
Mn: 0.0000 0.0000 0.3876  1 Mn 2.19, 4 Os 2.44
Os: 0.0000 0.5000 0.2500  4 Mn 2.44